Material: SnBPt2
Method: DFT, PBE
State: relaxed

Properties
total DFT energy (no corrections)	-5.2080	eV/atom
formation energy	0.482	eV/atom
magnetization	0.0	μB/f.u.
crystal system	cubic

Cell lengths 4.4371, 4.4371, 4.4371 Å; angles 60.00, 60.00, 60.00 degrees
Last column: nearest neighbours and their distance in Å.
Fractional positions:
Sn (0.0000, 0.0000, 0.0000)  8 Pt 2.72
B (0.5000, 0.5000, 0.5000)  8 Pt 2.72
Pt (0.2500, 0.2500, 0.2500)  4 Sn 2.72, 4 B 2.72
Pt (0.7500, 0.7500, 0.7500)  4 B 2.72, 4 Sn 2.72